No. 1
First-principles (meta-GGA SCAN) data for a PBEsol-optimized structure of NiAu4Se, as listed in Alexandria via LeMat-Bulk.

Cell lengths 5.364, 5.364, 5.364 Å; angles 60.00, 60.00, 60.00 degrees
Positions (direct):
Ni: 0.000 0.000 0.000
Au: 0.375 0.375 0.375
Au: 0.375 0.375 0.876
Au: 0.375 0.876 0.375
Au: 0.876 0.375 0.375
Se: 0.750 0.750 0.750

Values from the calculation:
E ... -51.63 eV per atom
Space-group type ... F-43m

---

No. 2
First-principles (meta-GGA SCAN) data for a PBEsol-optimized structure of NiAu2Se, as listed in Alexandria via LeMat-Bulk.

Cell lengths 4.851, 4.851, 4.851 Å; angles 131.03, 131.03, 71.76 degrees
Positions (direct):
Ni: 0.000 0.000 0.000
Au: 0.250 0.750 0.500
Au: 0.500 0.500 0.000
Se: 0.750 0.250 0.500

Values from the calculation:
E ... -43.28 eV per atom
Space-group type ... I-4m2

---

No. 3
First-principles (meta-GGA SCAN) data for a PBEsol-optimized structure of NiAuSe2, as listed in Alexandria via LeMat-Bulk.

Cell lengths 4.406, 4.406, 3.472 Å; angles 90.00, 90.00, 101.03 degrees
Positions (direct):
Ni: 0.000 0.000 0.000
Au: 0.500 0.500 0.000
Se: 0.000 0.500 0.500
Se: 0.500 0.000 0.500

Values from the calculation:
E ... -30.87 eV per atom
Space-group type ... Cmmm

---

No. 4
First-principles (meta-GGA SCAN) data for a PBEsol-optimized structure of NiAu2Se, as listed in Alexandria via LeMat-Bulk.

Cell lengths 3.830, 3.830, 4.370 Å; angles 90.00, 90.00, 90.00 degrees
Positions (direct):
Ni: 0.000 0.000 0.000
Au: 0.000 0.500 0.500
Au: 0.500 0.000 0.500
Se: 0.500 0.500 0.000

Values from the calculation:
E ... -43.37 eV per atom
Space-group type ... P4/mmm

---

No. 5
First-principles (meta-GGA SCAN) data for a PBEsol-optimized structure of TcNiAu2Se, as listed in Alexandria via LeMat-Bulk.

Cell lengths 5.007, 5.007, 4.481 Å; angles 90.00, 90.00, 90.00 degrees
Positions (direct):
Tc: 0.000 0.000 0.000
Ni: 0.500 0.500 0.500
Au: 0.000 0.500 0.000
Au: 0.500 0.000 0.000
Se: 0.000 0.000 0.500

Values from the calculation:
E ... -40.79 eV per atom
Space-group type ... P4/mmm

---

No. 6
First-principles (meta-GGA SCAN) data for a PBEsol-optimized structure of SiNi6Au, as listed in Alexandria via LeMat-Bulk.

Cell lengths 6.147, 6.147, 10.094 Å; angles 90.00, 90.00, 109.94 degrees
Positions (direct):
Si: 0.000 0.000 0.246
Si: 0.000 0.000 0.754
Si: 0.254 0.746 0.000
Si: 0.746 0.254 0.000
Ni: 0.000 0.000 0.000
Ni: 0.000 0.000 0.500
Ni: 0.115 0.360 0.367
Ni: 0.115 0.360 0.633
Ni: 0.116 0.370 0.119
Ni: 0.116 0.370 0.881
Ni: 0.245 0.755 0.238
Ni: 0.245 0.755 0.762
Ni: 0.360 0.115 0.367
Ni: 0.360 0.115 0.633
Ni: 0.370 0.116 0.119
Ni: 0.370 0.116 0.881
Ni: 0.500 0.500 0.000
Ni: 0.500 0.500 0.500
Ni: 0.630 0.884 0.119
Ni: 0.630 0.884 0.881
Ni: 0.640 0.885 0.367
Ni: 0.640 0.885 0.633
Ni: 0.755 0.245 0.238
Ni: 0.755 0.245 0.762
Ni: 0.884 0.630 0.119
Ni: 0.884 0.630 0.881
Ni: 0.885 0.640 0.367
Ni: 0.885 0.640 0.633
Au: 0.255 0.745 0.500
Au: 0.500 0.500 0.249
Au: 0.500 0.500 0.751
Au: 0.745 0.255 0.500

Values from the calculation:
E ... -22.18 eV per atom
Space-group type ... Cmmm

---

No. 7
First-principles (meta-GGA SCAN) data for a PBEsol-optimized structure of SiNiAu, as listed in Alexandria via LeMat-Bulk.

Cell lengths 3.965, 3.965, 3.965 Å; angles 60.00, 60.00, 60.00 degrees
Positions (direct):
Si: 0.000 0.000 0.000
Ni: 0.750 0.750 0.750
Au: 0.250 0.250 0.250

Values from the calculation:
E ... -31.99 eV per atom
Space-group type ... F-43m

---

No. 8
First-principles (meta-GGA SCAN) data for a PBEsol-optimized structure of SrNi3Au, as listed in Alexandria via LeMat-Bulk.

Cell lengths 4.682, 4.682, 4.682 Å; angles 90.00, 90.00, 90.00 degrees
Positions (direct):
Sr: 0.000 0.000 0.000
Ni: 0.000 0.500 0.500
Ni: 0.500 0.000 0.500
Ni: 0.500 0.500 0.000
Au: 0.500 0.500 0.500

Values from the calculation:
Formation energy from the elements ... 0.561 eV per atom
E ... -27.43 eV per atom
Space-group type ... Pm-3m

---

No. 9
First-principles (meta-GGA SCAN) data for a PBEsol-optimized structure of Sr2NiAu, as listed in Alexandria via LeMat-Bulk.

Cell lengths 4.363, 6.022, 6.022 Å; angles 42.29, 90.00, 90.00 degrees
Positions (direct):
Sr: 0.000 0.000 0.000
Sr: 0.500 0.283 0.283
Ni: 0.500 0.584 0.584
Au: 0.000 0.705 0.705

Values from the calculation:
Formation energy from the elements ... -0.436 eV per atom
E ... -32.91 eV per atom
Space-group type ... Amm2

---

No. 10
First-principles (meta-GGA SCAN) data for a PBEsol-optimized structure of SrNiAu, as listed in Alexandria via LeMat-Bulk.

Cell lengths 4.284, 4.284, 4.196 Å; angles 90.00, 90.00, 120.00 degrees
Positions (direct):
Sr: 0.000 0.000 0.000
Ni: 0.667 0.333 0.500
Au: 0.333 0.667 0.500

Values from the calculation:
Formation energy from the elements ... -0.433 eV per atom
E ... -36.30 eV per atom
Space-group type ... P-6m2

---

No. 11
First-principles (meta-GGA SCAN) data for a PBEsol-optimized structure of SrNi2Au2, as listed in Alexandria via LeMat-Bulk.

Cell lengths 6.386, 6.386, 6.386 Å; angles 143.09, 143.09, 53.20 degrees
Positions (direct):
Sr: 0.000 0.000 0.000
Ni: 0.250 0.750 0.500
Ni: 0.750 0.250 0.500
Au: 0.382 0.382 0.000
Au: 0.618 0.618 0.000

Values from the calculation:
Formation energy from the elements ... -0.184 eV per atom
E ... -38.77 eV per atom
Space-group type ... I4/mmm

---

No. 12
First-principles (meta-GGA SCAN) data for a PBEsol-optimized structure of TaNi2Au, as listed in Alexandria via LeMat-Bulk.

Cell lengths 4.775, 4.775, 4.775 Å; angles 134.71, 134.71, 65.97 degrees
Positions (direct):
Ta: 0.000 0.000 0.000
Ni: 0.250 0.750 0.500
Ni: 0.500 0.500 0.000
Au: 0.750 0.250 0.500

Values from the calculation:
Formation energy from the elements ... -0.215 eV per atom
E ... -42.24 eV per atom
Space-group type ... I-4m2

---

Q: The lowest E belongs to which entry?
A: NiAu4Se

---

Q: Which formula does entry 3 have?
A: NiAuSe2

---

Q: Number 3 is which compound?
A: NiAuSe2

---

Q: Among the records above, which one has the lowest E?
A: NiAu4Se